La2MnSe2O2 | PBE with a Hubbard U | optimized geometry

Computed properties:
* space group: No. 7
* energy above the lowest structure with this stoichiometry: 0.198 eV/atom

The structure in POSCAR format:
```
La2MnSe2O2
1.0
4.017 0.000 -0.001
0.000 16.524 0.000
-0.005 0.000 17.827
La Mn O Se
16 8 16 16
Direct
0.004 0.671 0.413
0.506 0.483 0.089
0.506 0.171 0.087
0.506 0.329 0.587
0.005 0.677 0.085
0.506 0.017 0.589
0.004 0.829 0.913
0.006 0.517 0.911
0.005 0.823 0.585
0.505 0.024 0.911
0.006 0.983 0.411
0.005 0.524 0.589
0.506 0.322 0.915
0.505 0.476 0.411
0.006 0.976 0.089
0.506 0.178 0.415
0.003 0.112 0.251
0.010 0.335 0.220
0.503 0.611 0.249
0.503 0.836 0.278
0.503 0.664 0.778
0.010 0.165 0.720
0.503 0.889 0.749
0.003 0.388 0.751
0.504 0.616 0.363
0.504 0.884 0.863
0.506 0.457 0.957
0.006 0.384 0.637
0.005 0.542 0.043
0.505 0.878 0.634
0.005 0.538 0.454
0.006 0.116 0.137
0.005 0.962 0.954
0.505 0.037 0.046
0.005 0.958 0.543
0.505 0.622 0.134
0.506 0.043 0.457
0.006 0.122 0.366
0.006 0.378 0.866
0.505 0.463 0.546
0.504 0.513 0.752
0.504 0.987 0.252
0.005 0.173 0.939
0.005 0.327 0.439
0.505 0.826 0.062
0.505 0.674 0.562
0.008 0.330 0.076
0.510 0.255 0.751
0.506 0.670 0.923
0.002 0.486 0.248
0.003 0.756 0.749
0.003 0.744 0.249
0.506 0.830 0.423
0.002 0.014 0.748
0.008 0.170 0.576
0.510 0.245 0.251
```